# CrFeS2

CrFeS2 after structural relaxation (PBE, the Alexandria database). Values from VASP.

Results
Relative energy among the computed polymorphs, eV/atom: 0.394
Formation energy (no corrections), meV per atom: -16
ρ, g/cm3: 4.39
Magnetic moment, μB/f.u.: 2.65
Fermi-level density of states, states/eV/cell: 7.78
Calculated volume, Å³/cell: 65.1
Space-group type: R-3m, No. 166

```
&SYSTEM
  ibrav = 0, nat = 4, ntyp = 3
/
ATOMIC_SPECIES
Fe 55.84 Fe.upf
S 32.06 S.upf
Cr 52.00 Cr.upf
ATOMIC_POSITIONS crystal
Fe 0.500 0.500 0.500
S 0.107 0.107 0.107
Cr 0.000 0.000 0.000
S 0.893 0.893 0.893
CELL_PARAMETERS angstrom
-5.631 -2.702 3.968
-3.512 -5.152 3.984
-3.190 -2.718 6.098
```


# Ge3RuI

Ge3RuI after structural relaxation (PBE, the Alexandria database). Values from VASP.

Results
Relative energy among the computed polymorphs, eV/atom: 0.000
Formation energy (no corrections), meV per atom: 52
ρ, g/cm3: 6.33
Magnetic moment, μB/f.u.: 0.00
Fermi-level density of states, states/eV/cell: 2.53
Calculated volume, Å³/cell: 117.0
Space-group type: Pm-3m, No. 221

```
&SYSTEM
  ibrav = 0, nat = 5, ntyp = 3
/
ATOMIC_SPECIES
Ge 72.64 Ge.upf
Ru 101.07 Ru.upf
I 126.90 I.upf
ATOMIC_POSITIONS crystal
Ge 0.500 0.000 0.000
Ge 0.000 0.500 0.000
Ge 0.000 0.000 0.500
Ru 0.000 0.000 0.000
I 0.500 0.500 0.500
CELL_PARAMETERS angstrom
4.891 0.000 0.000
0.000 4.891 0.000
0.000 0.000 4.891
```


# Pm3Tm2Tl

Pm3Tm2Tl after structural relaxation (PBE, the Alexandria database). Values from VASP.

Results
Relative energy among the computed polymorphs, eV/atom: 0.041
ρ, g/cm3: 8.63
Magnetic moment, μB/f.u.: 0.00
Fermi-level density of states, states/eV/cell: 11.16
Calculated volume, Å³/cell: 376.2
Space-group type: C2/c, No. 15

```
&SYSTEM
  ibrav = 0, nat = 12, ntyp = 3
/
ATOMIC_SPECIES
Tm 168.93 Tm.upf
Pm 145.00 Pm.upf
Tl 204.38 Tl.upf
ATOMIC_POSITIONS crystal
Tm 0.772 0.570 0.325
Tm 0.552 0.070 0.325
Pm 0.712 0.458 0.662
Tm 0.448 0.930 0.675
Tl 0.715 0.750 0.000
Pm 0.949 0.958 0.662
Pm 0.051 0.042 0.338
Tl 0.285 0.250 0.000
Pm 0.773 0.250 0.000
Pm 0.227 0.750 0.000
Tm 0.228 0.430 0.675
Pm 0.288 0.542 0.338
CELL_PARAMETERS angstrom
-4.850 4.155 -2.407
-2.192 -4.755 -3.792
-2.363 -3.598 8.228
```


# Sr2ZnCu

Sr2ZnCu after structural relaxation (PBE, the Alexandria database). Values from VASP.

Results
E, eV/atom: -2.08
ρ, g/cm3: 4.24
Magnetic moment, μB/f.u.: 0.00
Fermi-level density of states, states/eV/cell: 3.05
Calculated volume, Å³/cell: 119.0
Space-group type: I-4m2, No. 119

```
&SYSTEM
  ibrav = 0, nat = 4, ntyp = 3
/
ATOMIC_SPECIES
Sr 87.62 Sr.upf
Zn 65.41 Zn.upf
Cu 63.55 Cu.upf
ATOMIC_POSITIONS crystal
Sr 0.250 0.750 0.500
Zn 0.500 0.500 0.000
Sr 0.000 0.000 0.000
Cu 0.750 0.250 0.500
CELL_PARAMETERS angstrom
6.560 0.014 0.000
3.371 5.628 0.000
-4.965 -2.821 3.228
```


# Th2TlSn

Th2TlSn after structural relaxation (PBE, the Alexandria database). Values from VASP.

Results
E, eV/atom: -5.50
ρ, g/cm3: 9.89
Magnetic moment, μB/f.u.: 0.00
Fermi-level density of states, states/eV/cell: 2.70
Calculated volume, Å³/cell: 132.1
Space-group type: R-3m, No. 166

```
&SYSTEM
  ibrav = 0, nat = 4, ntyp = 3
/
ATOMIC_SPECIES
Sn 118.71 Sn.upf
Th 232.04 Th.upf
Tl 204.38 Tl.upf
ATOMIC_POSITIONS crystal
Sn 0.000 0.000 0.000
Th 0.747 0.747 0.759
Th 0.253 0.253 0.241
Tl 0.500 0.500 0.500
CELL_PARAMETERS angstrom
-2.803 -3.398 0.028
0.196 -3.043 -3.179
4.227 -6.314 3.252
```


# Ca3Er3MgSe8

Ca3Er3MgSe8 after structural relaxation (PBE, the Alexandria database). Values from VASP.

Results
Formation energy (no corrections), meV per atom: -1817
ρ, g/cm3: 5.44
Magnetic moment, μB/f.u.: 0.00
Fermi-level density of states, states/eV/cell: 3.85
Calculated volume, Å³/cell: 389.8
Space-group type: R-3m, No. 166

```
&SYSTEM
  ibrav = 0, nat = 15, ntyp = 4
/
ATOMIC_SPECIES
Ca 40.08 Ca.upf
Se 78.96 Se.upf
Er 167.26 Er.upf
Mg 24.30 Mg.upf
ATOMIC_POSITIONS crystal
Ca 0.000 0.000 0.000
Se 0.242 0.484 0.733
Se 0.250 0.009 0.267
Se 0.253 0.506 0.258
Se 0.758 0.009 0.267
Er 0.500 0.500 0.500
Se 0.750 0.991 0.733
Se 0.758 0.516 0.267
Er 0.500 0.000 0.500
Ca 0.000 0.500 0.000
Se 0.747 0.494 0.742
Se 0.242 0.991 0.733
Ca 0.500 0.500 0.000
Er 0.000 0.500 0.500
Mg 0.000 0.000 0.500
CELL_PARAMETERS angstrom
-4.278 0.723 -6.879
-1.423 -6.223 5.038
-2.278 7.632 2.219
```


# AcCdIr

AcCdIr after structural relaxation (PBE, the Alexandria database). Values from VASP.

Results
Relative energy among the computed polymorphs, eV/atom: 0.308
ρ, g/cm3: 11.53
Magnetic moment, μB/f.u.: 0.00
Fermi-level density of states, states/eV/cell: 1.92
Calculated volume, Å³/cell: 76.6
Space-group type: I4mm, No. 107

```
&SYSTEM
  ibrav = 0, nat = 3, ntyp = 3
/
ATOMIC_SPECIES
Ac 227.00 Ac.upf
Ir 192.22 Ir.upf
Cd 112.41 Cd.upf
ATOMIC_POSITIONS crystal
Ac 0.258 0.258 0.515
Ir 0.610 0.610 0.220
Cd 0.982 0.982 0.964
CELL_PARAMETERS angstrom
-1.671 -0.806 -3.086
-3.035 -0.671 1.819
0.742 6.388 0.031
```


# Hf2Al6W

Hf2Al6W after structural relaxation (PBE, the Alexandria database). Values from VASP.

Results
E, eV/atom: -6.31
ρ, g/cm3: 7.17
Magnetic moment, μB/f.u.: 0.00
Fermi-level density of states, states/eV/cell: 4.04
Calculated volume, Å³/cell: 162.8
Space-group type: C2/m, No. 12

```
&SYSTEM
  ibrav = 0, nat = 9, ntyp = 3
/
ATOMIC_SPECIES
Al 26.98 Al.upf
Hf 178.49 Hf.upf
W 183.84 W.upf
ATOMIC_POSITIONS crystal
Al 0.333 0.824 0.824
Hf 0.064 0.328 0.328
W 0.000 0.000 0.000
Al 0.682 0.177 0.669
Al 0.682 0.669 0.177
Hf 0.936 0.672 0.672
Al 0.318 0.331 0.823
Al 0.667 0.176 0.176
Al 0.318 0.823 0.331
CELL_PARAMETERS angstrom
-0.969 5.332 3.495
-3.677 1.868 -3.463
-5.198 -1.183 0.769
```


# Ho5Te5Ru

Ho5Te5Ru after structural relaxation (PBE, the Alexandria database). Values from VASP.

Results
Formation energy (no corrections), meV per atom: -1116
ρ, g/cm3: 7.71
Magnetic moment, μB/f.u.: 0.00
Fermi-level density of states, states/eV/cell: 5.98
Calculated volume, Å³/cell: 336.8
Space-group type: C2/m, No. 12

```
&SYSTEM
  ibrav = 0, nat = 11, ntyp = 3
/
ATOMIC_SPECIES
Ho 164.93 Ho.upf
Te 127.60 Te.upf
Ru 101.07 Ru.upf
ATOMIC_POSITIONS crystal
Ho 0.852 0.705 0.696
Ho 0.147 0.294 0.851
Ho 0.853 0.706 0.149
Te 0.000 0.000 0.500
Te 0.334 0.668 0.176
Ru 0.000 0.000 0.000
Ho 0.500 0.000 0.000
Te 0.666 0.332 0.824
Te 0.681 0.363 0.333
Te 0.319 0.637 0.667
Ho 0.148 0.295 0.304
CELL_PARAMETERS angstrom
6.093 0.000 0.000
-3.046 6.852 -0.092
0.000 -2.676 8.105
```


# CuSnOsO6

CuSnOsO6 after structural relaxation (PBE, the Alexandria database). Values from VASP.

Results
Formation energy (no corrections), meV per atom: -938
ρ, g/cm3: 7.33
Magnetic moment, μB/f.u.: 0.00
Fermi-level density of states, states/eV/cell: 10.92
Calculated volume, Å³/cell: 212.3
Space-group type: P-31c, No. 163

```
&SYSTEM
  ibrav = 0, nat = 18, ntyp = 4
/
ATOMIC_SPECIES
Sn 118.71 Sn.upf
O 16.00 O.upf
Os 190.23 Os.upf
Cu 63.55 Cu.upf
ATOMIC_POSITIONS crystal
Sn 0.667 0.333 0.250
O 0.658 0.025 0.872
Os 0.667 0.333 0.750
O 0.367 0.025 0.628
O 0.658 0.633 0.628
Sn 0.333 0.667 0.750
O 0.633 0.658 0.128
O 0.633 0.975 0.372
Os 0.333 0.667 0.250
Cu 0.000 0.000 0.000
O 0.342 0.975 0.128
O 0.975 0.342 0.628
O 0.025 0.367 0.128
O 0.975 0.633 0.872
O 0.342 0.367 0.372
Cu 0.000 0.000 0.500
O 0.025 0.658 0.372
O 0.367 0.342 0.872
CELL_PARAMETERS angstrom
-0.871 2.509 4.554
0.203 -5.266 -0.111
8.687 0.303 1.494
```


# Na2CeNp2S6

Na2CeNp2S6 after structural relaxation (PBE, the Alexandria database). Values from VASP.

Results
Formation energy (no corrections), meV per atom: -1488
ρ, g/cm3: 4.98
Magnetic moment, μB/f.u.: 8.00
Fermi-level density of states, states/eV/cell: 24.09
Calculated volume, Å³/cell: 284.2
Space-group type: C2/m, No. 12

```
&SYSTEM
  ibrav = 0, nat = 11, ntyp = 4
/
ATOMIC_SPECIES
Np 237.00 Np.upf
S 32.06 S.upf
Ce 140.12 Ce.upf
Na 22.99 Na.upf
ATOMIC_POSITIONS crystal
Np 0.665 0.335 0.500
S 0.933 0.587 0.281
S 0.587 0.933 0.281
S 0.067 0.413 0.719
Ce 0.000 0.000 0.500
Na 0.833 0.167 0.000
S 0.263 0.263 0.278
Np 0.335 0.665 0.500
Na 0.167 0.833 0.000
S 0.737 0.737 0.722
S 0.413 0.067 0.719
CELL_PARAMETERS angstrom
7.027 -0.046 0.077
-3.513 6.086 0.077
-1.247 -2.144 6.617
```


# Rb2NdReO6

Rb2NdReO6 after structural relaxation (PBE, the Alexandria database). Values from VASP.

Results
Formation energy (no corrections), meV per atom: -2149
ρ, g/cm3: 6.26
Magnetic moment, μB/f.u.: 0.00
Fermi-level density of states, states/eV/cell: 0.00
Calculated volume, Å³/cell: 158.6
Space-group type: Fm-3m, No. 225

```
&SYSTEM
  ibrav = 0, nat = 10, ntyp = 4
/
ATOMIC_SPECIES
Rb 85.47 Rb.upf
O 16.00 O.upf
Nd 144.24 Nd.upf
Re 186.21 Re.upf
ATOMIC_POSITIONS crystal
Rb 0.250 0.750 0.500
O 0.778 0.223 0.000
O 0.778 0.778 0.555
Nd 0.500 0.500 0.000
O 0.222 0.223 0.444
O 0.222 0.223 0.000
O 0.222 0.778 0.000
Rb 0.750 0.250 0.500
Re 0.000 0.000 0.000
O 0.778 0.778 0.000
CELL_PARAMETERS angstrom
-5.715 -0.507 1.999
1.179 -5.635 1.942
3.464 4.637 1.847
```


Q: Look up the ρ of the ninth one.
A: 7.71 g/cm3